VNF3 | GGA+U | relaxed

Calculated values
- D(E_F) (states/eV/f.u.) = 8.346
- energy above the most stable polymorph in this dataset (meV per atom) = 1284.1
- total magnetic moment (μB/f.u.) = 4.46

Lattice parameters (Å, degrees): 3.9082 3.9082 3.9082 90.00 90.00 90.00
Last column: nearest neighbours and their distance in Å.
Space group Pm-3m (No. 221)
Asymmetric unit:
V 0.0000 0.0000 0.0000 x1  12 F 2.76
N 0.5000 0.5000 0.5000 x1  6 F 1.95
F 0.0000 0.5000 0.5000 x3  2 N 1.95